No. 1
A relaxed structure of V2Ni2Hg. Source: the Alexandria database, functional PBE.

As for the formation energy: 1.091 eV per formula unit. The value obtained for the energy is -5.802 eV/atom. The value obtained for the energy above the most stable polymorph in this dataset is 0.157 eV per atom.

The space group is I4/mmm (No. 139) and the conventional cell measures 3.7160, 3.7160 and 10.6236 Å, with angles of 90.00, 90.00 and 90.00 degrees. Symmetry generates all atoms from V at (0.0000, 0.5000, 0.2500), Ni at (0.0000, 0.0000, 0.1060) and Hg at (0.0000, 0.0000, 0.5000).


No. 2
A relaxed structure of V3NiHg. Source: the Alexandria database, functional PBE.

As for the formation energy: 10.086 eV per formula unit. The value obtained for the energy is -4.671 eV/atom. The value obtained for the energy above the most stable polymorph in this dataset is 1.217 eV per atom.

The space group is Pm-3m (No. 221) and the conventional cell measures 4.9679, 4.9679 and 4.9679 Å, with angles of 90.00, 90.00 and 90.00 degrees. Symmetry generates all atoms from V at (0.0000, 0.0000, 0.5000), Ni at (0.5000, 0.5000, 0.5000) and Hg at (0.0000, 0.0000, 0.0000).


No. 3
A relaxed structure of V3NiHg. Source: the Alexandria database, functional PBE.

As for the formation energy: 3.998 eV per formula unit. The value obtained for the energy is -5.888 eV/atom. The value obtained for the energy above the most stable polymorph in this dataset is 0.000 eV per atom.

The space group is Pm-3m (No. 221) and the conventional cell measures 4.3889, 4.3889 and 4.3889 Å, with angles of 90.00, 90.00 and 90.00 degrees. Symmetry generates all atoms from V at (0.0000, 0.0000, 0.5000), Ni at (0.0000, 0.0000, 0.0000) and Hg at (0.5000, 0.5000, 0.5000).